[1]
# Cs2SrCaCl6

A relaxed structure of Cs2SrCaCl6 (PBE, the Alexandria database).

```
Cs2SrCaCl6
1.0
-1.4366 -3.5253 -6.9352
-3.6851 -5.9027 3.7638
-7.4055 -1.9466 -1.9889
Cl Ca Cs Sr
6 1 2 1
Direct
0.2559 0.7441 0.0000
0.7441 0.7441 0.5118
0.7441 0.2559 0.0000
0.2559 0.2559 0.4882
0.2559 0.2559 0.0000
0.7441 0.7441 0.0000
0.5000 0.5000 0.0000
0.2500 0.7500 0.5000
0.7500 0.2500 0.5000
0.0000 0.0000 0.0000
```

- Formation energy from raw total energies: -2.29 eV/atom



[2]
# Cs2CaTaCl6

A relaxed structure of Cs2CaTaCl6 (PBE, the Alexandria database).

```
Cs2CaTaCl6
1.0
7.4959 0.0000 0.0000
0.0000 7.4959 0.0000
3.7480 3.7480 5.3004
Cl Ta Cs Ca
6 1 2 1
Direct
0.7583 0.7583 0.4834
0.2417 0.2417 0.5166
0.2417 0.7583 0.0000
0.7583 0.2417 0.0000
0.2417 0.2417 0.0000
0.7583 0.7583 0.0000
0.0000 0.0000 0.0000
0.7500 0.2500 0.5000
0.2500 0.7500 0.5000
0.5000 0.5000 0.0000
```

- Formation energy from raw total energies: -1.64 eV/atom



[3]
# CsCaTbCl6

A relaxed structure of CsCaTbCl6 (PBE, the Alexandria database).

```
CsCaTbCl6
1.0
7.1693 0.0001 -0.0001
3.5848 6.2087 0.0002
0.0003 -0.0004 7.6241
Cl Cs Ca Tb
6 1 1 1
Direct
0.6153 0.3756 0.7013
0.3755 0.6153 0.2987
0.6153 0.0092 0.2987
0.0091 0.6153 0.7013
0.0092 0.3755 0.2987
0.3755 0.0092 0.7013
0.0000 0.0000 0.0000
0.6666 0.6667 0.5000
0.3333 0.3333 0.5000
```

- Formation energy from raw total energies: -2.31 eV/atom